Record 1
PBE-GGA TeMoPb2, optimized geometry; formation energy without anion corrections = 0.470 eV/atom; volume = 26.3 Å³ per atom
1.0
-2.310 2.997 2.991
-1.577 -3.114 1.902
3.509 -1.651 4.364
Mo Pb Te
1 2 1
Cartesian
0.572 -1.493 5.825 Mo
1.767 -4.564 5.937 Pb
-0.491 0.106 3.403 Pb
0.672 -2.966 3.491 Te

Record 2
PBE-GGA Pm2TeP, optimized geometry; formation energy without anion corrections = -1.548 eV/atom; volume = 28.2 Å³ per atom
1.0
-2.819 1.395 2.759
-2.798 -2.638 1.648
2.836 -1.924 7.044
Te Pm P
1 2 1
Cartesian
-1.379 -1.587 5.738 Te
-0.876 -0.734 2.649 Pm
1.847 -1.607 5.873 Pm
-0.926 -2.747 9.961 P

Record 3
PBE-GGA Ca3ZrAg, optimized geometry; ΔE_f = 44.9 kJ per mole of atoms; volume = 36.0 Å³ per atom
1.0
-1.326 0.164 5.486
5.012 -2.263 1.279
2.236 5.170 0.386
Ag Ca Zr
1 3 1
Cartesian
0.000 0.000 0.000 Ag
-0.663 0.082 2.743 Ca
1.118 2.585 0.193 Ca
2.506 -1.131 0.639 Ca
2.961 1.535 3.575 Zr

Record 4
PBE-GGA Be4MoCl, optimized geometry; formation energy without anion corrections = 0.412 eV/atom; volume = 10.8 Å³ per atom
1.0
-0.451 -4.021 1.980
-2.605 -3.158 -1.881
1.873 -3.650 -1.861
Be Mo Cl
4 1 1
Cartesian
-1.807 -5.651 -1.639 Be
0.549 -5.911 -1.629 Be
-0.436 -3.990 -0.649 Be
-0.674 -6.106 0.393 Be
0.000 0.000 0.000 Mo
-0.888 -8.122 -1.321 Cl

Record 5
PBE-GGA TlSb2Ir, optimized geometry; formation energy without anion corrections = 0.196 eV/atom; volume = 24.4 Å³ per atom
1.0
3.231 0.000 0.000
0.000 3.231 0.000
0.000 0.000 9.338
Sb Ir Tl
2 1 1
Cartesian
0.000 0.000 8.755 Sb
1.616 1.616 2.251 Sb
1.616 1.616 7.291 Ir
0.000 0.000 5.048 Tl

Record 6
PBE-GGA Ba5SrGa4, optimized geometry; ΔE_f = -24.8 kJ per mole of atoms; volume = 43.0 Å³ per atom
1.0
0.688 -4.364 -0.829
3.840 -0.949 8.179
-12.186 0.509 -0.600
Ba Ga Sr
5 4 1
Cartesian
-4.898 -4.015 4.884 Ba
-1.495 -1.369 5.965 Ba
2.264 -2.657 3.675 Ba
-2.761 -0.789 1.865 Ba
-6.164 -3.435 0.784 Ba
1.813 -1.000 6.764 Ga
0.915 -3.511 7.050 Ga
-8.573 -1.294 -0.301 Ga
-9.471 -3.805 -0.015 Ga
0.344 -2.182 -0.415 Sr

Record 7
PBE-GGA BaPm2Pt, optimized geometry; ΔE_f = -48.8 kJ per mole of atoms; volume = 39.2 Å³ per atom
1.0
-2.833 0.823 3.097
-1.478 -3.181 2.447
5.969 0.686 8.234
Ba Pm Pt
1 2 1
Cartesian
0.829 -0.836 6.889 Ba
-0.328 -0.566 2.805 Pm
1.986 -1.107 10.973 Pm
0.000 0.000 0.000 Pt

Record 8
PBE-GGA AcRhS2, optimized geometry; formation energy without anion corrections = -1.078 eV/atom; volume = 20.6 Å³ per atom
1.0
-0.431 -1.101 -4.207
1.555 -3.826 -1.427
-4.012 -3.804 -0.863
Rh Ac S
1 1 2
Cartesian
0.000 0.000 0.000 Rh
-1.443 -4.366 -3.248 Ac
-2.527 -6.727 -4.789 S
-0.360 -2.005 -1.708 S

For each record above, in turn, the calculated magnetic moment values are 1.2 0.0 3.0 0.0 0.0 0.4 0.0 0.0 μB per cell.
For each record above, in turn, the calculated energy values are -4.877 -6.062 -3.016 -4.185 -4.672 -2.598 -4.872 -6.007 eV per atom.